3
Lattice="-1.489 1.489 6.124 1.489 -1.489 6.124 1.489 1.489 -6.124" Properties=species:S:1:pos:R:3 comment="As2Os (PBE-GGA, optimized geometry)" delta_e_f_ev_per_atom=0.130 dft_energy_ev_per_atom=-6.712 pbc="T T T"
As 0.000 0.000 1.607
As 0.000 0.000 10.641
Os 0.000 0.000 6.124